DFT (PBEsol) results for crystalline ZrFe2Si at its relaxed geometry.

Cell and atoms, written as POSCAR:
```
ZrFe2Si
1.0
-1.986 1.986 3.490
1.986 -1.986 3.490
1.986 1.986 -3.490
Zr Fe Si
1 2 1
Cartesian
0.000 0.000 0.000 Zr
0.000 0.000 3.490 Fe
0.000 1.986 1.745 Fe
1.986 0.000 1.745 Si
```

Values from the calculation:
ΔE_f (raw) ... -0.208 eV per atom
Magnetization ... 4.0 μB/cell
Space group ... No. 119



DFT (PBEsol) results for crystalline CdAs3W at its relaxed geometry.

Cell and atoms, written as POSCAR:
```
CdAs3W
1.0
4.917 0.000 0.000
0.000 4.917 0.000
0.000 0.000 4.917
Cd As W
1 3 1
Cartesian
0.000 0.000 0.000 Cd
0.000 0.000 2.459 As
0.000 2.459 0.000 As
2.459 0.000 0.000 As
2.459 2.459 2.459 W
```

Values from the calculation:
Formation energy ... 181.51 kJ/mol of atoms
Magnetization ... 2.8 μB/cell
Space group ... No. 221



- Which value of magnetization does entry 2 give?
  2.8 μB/cell